# 1
LiCdIn2 | GGA-PBEsol | optimized geometry

## Properties
ΔH_f (0 K): -0.160 eV/atom
symmetry: No. 139

Structure (POSCAR):
```
LiCdIn2
1.0
4.442 0.000 0.000
0.000 4.442 0.000
-2.221 -2.221 4.309
In Cd Li
2 1 1
Direct
0.750 0.250 0.500
0.250 0.750 0.500
0.000 0.000 0.000
0.500 0.500 0.000
```



# 2
LiCdIn2 | GGA-PBEsol | optimized geometry

## Properties
ΔH_f (0 K): -0.111 eV/atom
symmetry: No. 166

Structure (POSCAR):
```
LiCdIn2
1.0
-0.475 -1.256 2.964
2.408 0.037 2.188
-2.317 8.059 4.832
Cd In Li
1 2 1
Direct
0.000 0.000 0.000
0.246 0.246 0.261
0.754 0.754 0.739
0.500 0.500 0.500
```